Below is a relaxed structure of CdTe, with properties calculated at the PBE level.

Values from the calculation:
Space-group type ... Pmm2

Structure (CIF):
```
data_CdTe
_chemical_formula_sum 'Cd1 Te1'
_symmetry_space_group_name_H-M 'P 1'
_symmetry_Int_Tables_number 1
_cell_length_a 3.016
_cell_length_b 6.187
_cell_length_c 3.125
_cell_angle_alpha 90.00
_cell_angle_beta 90.00
_cell_angle_gamma 90.00
loop_
_symmetry_equiv_pos_as_xyz
'x,y,z'
loop_
_atom_site_label
_atom_site_type_symbol
_atom_site_fract_x
_atom_site_fract_y
_atom_site_fract_z
Cd1 Cd 0.000 0.000 0.000
Te1 Te 0.000 0.500 0.747
```

---

Below is a relaxed structure of Y2Sb3W4N3, with properties calculated at the PBE level.

Values from the calculation:
Magnetic moment ... 0.01 Bohr magnetons per cell
Space-group type ... C2/c

Structure (CIF):
```
data_Y2Sb3W4N3
_chemical_formula_sum 'Y4 Sb6 W8 N6'
_symmetry_space_group_name_H-M 'P 1'
_symmetry_Int_Tables_number 1
_cell_length_a 5.884
_cell_length_b 5.884
_cell_length_c 13.552
_cell_angle_alpha 99.11
_cell_angle_beta 99.11
_cell_angle_gamma 61.32
loop_
_symmetry_equiv_pos_as_xyz
'x,y,z'
loop_
_atom_site_label
_atom_site_type_symbol
_atom_site_fract_x
_atom_site_fract_y
_atom_site_fract_z
Y1 Y 0.027 0.859 0.603
Y2 Y 0.141 0.973 0.897
Y3 Y 0.859 0.027 0.103
Y4 Y 0.973 0.141 0.397
Sb1 Sb 0.065 0.315 0.739
Sb2 Sb 0.315 0.065 0.239
Sb3 Sb 0.459 0.541 0.750
Sb4 Sb 0.541 0.459 0.250
Sb5 Sb 0.685 0.935 0.761
Sb6 Sb 0.935 0.685 0.261
W1 W 0.200 0.352 0.064
W2 W 0.332 0.482 0.426
W3 W 0.352 0.200 0.564
W4 W 0.482 0.332 0.926
W5 W 0.518 0.668 0.074
W6 W 0.648 0.800 0.436
W7 W 0.668 0.518 0.574
W8 W 0.800 0.648 0.936
N1 N 0.000 0.500 0.500
N2 N 0.167 0.663 0.997
N3 N 0.337 0.833 0.503
N4 N 0.500 0.000 0.000
N5 N 0.663 0.167 0.497
N6 N 0.833 0.337 0.003
```

---

Below is a relaxed structure of Pr2GdCd3AgPt2, with properties calculated at the PBE level.

Values from the calculation:
Formation energy ... -0.71 eV per atom
Magnetic moment ... 0.01 Bohr magnetons per cell
Space-group type ... Amm2

Structure (CIF):
```
data_Pr2GdCd3AgPt2
_chemical_formula_sum 'Pr2 Gd1 Cd3 Ag1 Pt2'
_symmetry_space_group_name_H-M 'P 1'
_symmetry_Int_Tables_number 1
_cell_length_a 3.968
_cell_length_b 7.823
_cell_length_c 7.823
_cell_angle_alpha 119.66
_cell_angle_beta 90.00
_cell_angle_gamma 90.00
loop_
_symmetry_equiv_pos_as_xyz
'x,y,z'
loop_
_atom_site_label
_atom_site_type_symbol
_atom_site_fract_x
_atom_site_fract_y
_atom_site_fract_z
Pr1 Pr 0.000 0.207 0.793
Pr2 Pr 0.000 0.793 0.207
Gd1 Gd 0.000 0.622 0.622
Cd1 Cd 0.500 0.209 0.465
Cd2 Cd 0.500 0.465 0.209
Cd3 Cd 0.500 0.948 0.948
Ag1 Ag 0.000 0.210 0.210
Pt1 Pt 0.500 0.541 0.868
Pt2 Pt 0.500 0.868 0.541
```

---

Below is a relaxed structure of TaFe2Ni, with properties calculated at the PBE level.

Values from the calculation:
Formation energy ... -0.03 eV per atom
Magnetic moment ... 13.49 Bohr magnetons per cell
Space-group type ... F-43m

Structure (CIF):
```
data_TaFe2Ni
_chemical_formula_sum 'Ta4 Fe8 Ni4'
_symmetry_space_group_name_H-M 'P 1'
_symmetry_Int_Tables_number 1
_cell_length_a 5.825
_cell_length_b 5.825
_cell_length_c 5.825
_cell_angle_alpha 90.00
_cell_angle_beta 90.00
_cell_angle_gamma 90.00
loop_
_symmetry_equiv_pos_as_xyz
'x,y,z'
loop_
_atom_site_label
_atom_site_type_symbol
_atom_site_fract_x
_atom_site_fract_y
_atom_site_fract_z
Ta1 Ta 0.000 0.000 0.000
Ta2 Ta 0.000 0.500 0.500
Ta3 Ta 0.500 0.000 0.500
Ta4 Ta 0.500 0.500 0.000
Fe1 Fe 0.000 0.000 0.500
Fe2 Fe 0.000 0.500 0.000
Fe3 Fe 0.250 0.250 0.750
Fe4 Fe 0.250 0.750 0.250
Fe5 Fe 0.500 0.000 0.000
Fe6 Fe 0.500 0.500 0.500
Fe7 Fe 0.750 0.250 0.250
Fe8 Fe 0.750 0.750 0.750
Ni1 Ni 0.250 0.250 0.250
Ni2 Ni 0.250 0.750 0.750
Ni3 Ni 0.750 0.250 0.750
Ni4 Ni 0.750 0.750 0.250
```

---

So what do the calculations give for volume? Going down the list: 58.32; 404.61; 211.03; 197.69 Å³/cell.
So what do the calculations give for E_tot? Going down the list: -1.98; -8.68; -4.25; -8.54 eV per atom.